Entry 1:
# La5ErZn4

A relaxed La5ErZn4 crystal (PBE, Alexandria via LeMat-Bulk).

a = 3.7634 Å, b = 3.7634 Å, c = 19.8987 Å
α = 90.00°, β = 90.00°, γ = 90.00°
With the nearest neighbours (Å) after each atom.
Space group P4/mmm (No. 123)
Inequivalent atoms, fractional coordinates:
La: 0.0000 0.0000 0.0000 x1  8 Zn 3.25
La: 0.0000 0.0000 0.1884 x2  8 Zn 3.26-3.27
La: 0.0000 0.0000 0.3752 x2  4 Zn 3.22
Er: 0.5000 0.5000 0.5000 x1  8 La 3.64, 4 Er 3.76
Zn: 0.5000 0.5000 0.0941 x2  8 La 3.25-3.26
Zn: 0.5000 0.5000 0.2839 x2  8 La 3.22-3.27

formation energy	-0.2363	eV per atom

Entry 2:
# Nd4Sm3TmTe8

A relaxed Nd4Sm3TmTe8 crystal (PBE, Alexandria via LeMat-Bulk).

a = 8.8845 Å, b = 8.8845 Å, c = 21.9556 Å
α = 90.00°, β = 90.00°, γ = 120.00°
With the nearest neighbours (Å) after each atom.
Space group R-3m (No. 166, hexagonal axes)
Inequivalent atoms, fractional coordinates:
Nd: 0.0000 0.0000 0.0000 x3  6 Te 3.23
Nd: 0.0000 0.5000 0.0000 x9  6 Te 3.17
Sm: 0.0000 0.5000 0.5000 x9  6 Te 3.13
Tm: 0.0000 0.0000 0.5000 x3  6 Te 3.07
Te: 0.0000 0.0000 0.2485 x6  3 Sm 3.13, 3 Nd 3.17
Te: 0.0062 0.5031 0.2469 x18  1 Tm 3.07, 2 Sm 3.13, 3 Nd 3.17-3.23

raw formation energy	-1.372	eV per atom

Entry 3:
# BaSrRu4

A relaxed BaSrRu4 crystal (PBE, Alexandria via LeMat-Bulk).

a = 7.8849 Å, b = 7.8849 Å, c = 7.8849 Å
α = 90.00°, β = 90.00°, γ = 90.00°
With the nearest neighbours (Å) after each atom.
Space group F-43m (No. 216)
Inequivalent atoms, fractional coordinates:
Ba: 0.0000 0.0000 0.0000 x4  12 Ru 3.27, 4 Sr 3.41
Sr: 0.2500 0.2500 0.2500 x4  12 Ru 3.27, 4 Ba 3.41
Ru: 0.1247 0.1247 0.6247 x16  6 Ru 2.78-2.79

formation energy	0.5014	eV per atom

Number 1: raw total energy -36.66 eV per cell, size of the total moment 0.0 μB/cell, volume 28.2 A^3/atom. Number 2: raw total energy -254.38 eV per cell, size of the total moment 0.0 μB/cell, volume 31.3 A^3/atom. Number 3: raw total energy -150.80 eV per cell, size of the total moment 16.0 μB/cell, volume 20.4 A^3/atom.